The following is a PBE calculation of a geometry-optimized FeCoNi5 structure, from the Alexandria database.

Results
DOS at the Fermi energy: 10.0 states/eV/f.u.
theoretical density: 8.16 g/cm³
E above lowest polymorph: 113 meV per atom
magnetization: 1.095 μB/atom

a = 4.5190 Å, b = 4.5936 Å, c = 8.0076 Å
α = 90.00°, β = 90.00°, γ = 90.00°
Space group Imm2 (No. 44)
Symmetry-distinct sites (fractional):
Fe  0.0000  0.0000  0.0000 [2 per cell]
Co  0.0000  0.5000  0.6388 [2 per cell]
Ni  0.0000  0.0000  0.7281 [2 per cell]
Ni  0.0000  0.2575  0.2512 [4 per cell]
Ni  0.2455  0.5000  0.9723 [4 per cell]